Na4HgSb3Se8: relaxed, PBE.

Values from the calculation:
energy relative to the elements, uncorrected = -567 meV per atom
uncorrected energy = -3.430 eV per atom

a = 8.2284 Å, b = 8.5462 Å, c = 8.2348 Å
α = 118.82°, β = 119.97°, γ = 90.00°
Sites, in units of the cell vectors:
Sb1 0.5000 0.5000 0.5000
Na1 0.5000 0.0000 0.0000
Se1 0.2557 0.2672 0.5115
Sb2 0.5000 0.5000 0.0000
Na2 0.5000 0.0000 0.5000
Se2 0.7443 0.7328 0.4885
Se3 0.7552 0.2701 0.0152
Sb3 0.0000 0.5000 0.5000
Se4 0.7541 0.2694 0.5083
Se5 0.7400 0.7299 0.9848
Se6 0.2600 0.2701 0.0152
Se7 0.2448 0.7299 0.9848
Hg1 0.0000 0.5000 0.0000
Na3 0.0000 0.0000 0.0000
Se8 0.2459 0.7306 0.4917
Na4 0.0000 0.0000 0.5000

---

NaHgSbSe3: relaxed, PBE.

Values from the calculation:
energy relative to the elements, uncorrected = -435 meV per atom
uncorrected energy = -3.135 eV per atom

a = 4.1823 Å, b = 8.7548 Å, c = 9.8235 Å
α = 94.38°, β = 90.00°, γ = 90.00°
Sites, in units of the cell vectors:
Se1 0.2500 0.1346 0.8802
Se2 0.2500 0.6036 0.8693
Na1 0.2500 0.1638 0.2210
Se3 0.7500 0.2164 0.4663
Se4 0.7500 0.8654 0.1198
Se5 0.7500 0.3964 0.1307
Na2 0.7500 0.8362 0.7790
Se6 0.2500 0.7836 0.5337
Sb1 0.7500 0.3547 0.8654
Hg1 0.2500 0.1118 0.6043
Sb2 0.2500 0.6453 0.1346
Hg2 0.7500 0.8882 0.3957

---

Na2SmHgSb2: relaxed, PBE.

Values from the calculation:
energy relative to the elements, uncorrected = -522 meV per atom
uncorrected energy = -3.172 eV per atom

a = 4.5191 Å, b = 8.3113 Å, c = 9.1551 Å
α = 90.00°, β = 90.00°, γ = 90.00°
Sites, in units of the cell vectors:
Sm1 0.0000 0.4707 0.5486
Na1 0.5000 0.0598 0.0749
Na2 0.0000 0.3756 0.1734
Hg1 0.5000 0.1212 0.7031
Sb1 0.5000 0.7383 0.6038
Sb2 0.0000 0.7800 0.1538
Sb3 0.5000 0.2383 0.3962
Na3 0.0000 0.8756 0.8266
Sm2 0.0000 0.9707 0.4514
Hg2 0.5000 0.6212 0.2969
Na4 0.5000 0.5598 0.9251
Sb4 0.0000 0.2800 0.8462

---

NaSnHg2Sb: relaxed, PBE.

Values from the calculation:
energy relative to the elements, uncorrected = -40 meV per atom
uncorrected energy = -2.050 eV per atom

a = 3.7015 Å, b = 8.8897 Å, c = 9.2523 Å
α = 90.00°, β = 90.00°, γ = 102.02°
Sites, in units of the cell vectors:
Na1 0.7944 0.5887 0.7500
Sb1 0.5532 0.1063 0.2500
Na2 0.2056 0.4113 0.2500
Hg1 0.8325 0.6649 0.4182
Sb2 0.4468 0.8937 0.7500
Hg2 0.8325 0.6649 0.0818
Hg3 0.1675 0.3351 0.9182
Hg4 0.1675 0.3351 0.5818
Sn1 0.0000 0.0000 0.0000
Sn2 0.0000 0.0000 0.5000

---

What did the fourth record say?
NaSnHg2Sb: relaxed, PBE.

Values from the calculation:
energy relative to the elements, uncorrected = -40 meV per atom
uncorrected energy = -2.050 eV per atom

a = 3.7015 Å, b = 8.8897 Å, c = 9.2523 Å
α = 90.00°, β = 90.00°, γ = 102.02°
Sites, in units of the cell vectors:
Na1 0.7944 0.5887 0.7500
Sb1 0.5532 0.1063 0.2500
Na2 0.2056 0.4113 0.2500
Hg1 0.8325 0.6649 0.4182
Sb2 0.4468 0.8937 0.7500
Hg2 0.8325 0.6649 0.0818
Hg3 0.1675 0.3351 0.9182
Hg4 0.1675 0.3351 0.5818
Sn1 0.0000 0.0000 0.0000
Sn2 0.0000 0.0000 0.5000

---

- Among the records above, which one has the highest energy relative to the elements, uncorrected?
  NaSnHg2Sb

---

Please write out number 4 again, unchanged.
NaSnHg2Sb: relaxed, PBE.

Values from the calculation:
energy relative to the elements, uncorrected = -40 meV per atom
uncorrected energy = -2.050 eV per atom

a = 3.7015 Å, b = 8.8897 Å, c = 9.2523 Å
α = 90.00°, β = 90.00°, γ = 102.02°
Sites, in units of the cell vectors:
Na1 0.7944 0.5887 0.7500
Sb1 0.5532 0.1063 0.2500
Na2 0.2056 0.4113 0.2500
Hg1 0.8325 0.6649 0.4182
Sb2 0.4468 0.8937 0.7500
Hg2 0.8325 0.6649 0.0818
Hg3 0.1675 0.3351 0.9182
Hg4 0.1675 0.3351 0.5818
Sn1 0.0000 0.0000 0.0000
Sn2 0.0000 0.0000 0.5000

---

- The highest uncorrected energy belongs to which entry?
  NaSnHg2Sb